No. 1
A plane-wave DFT calculation with GGA-PBE was carried out for an optimized crystal structure of Be17MoPd.

It has space group R3m (No. 160, hexagonal axes), with a = 7.2969 Å, b = 7.2969 Å, c = 10.6355 Å, α = 90.00°, β = 90.00° and γ = 120.00°. The inequivalent atoms are Be at (0.0000, 0.0000, 0.0512), Be at (0.0000, 0.0000, 0.2551), Be at (0.0023, 0.3010, 0.1517), Be at (0.0074, 0.5037, 0.3082), Be at (0.0133, 0.5066, 0.6463), Be at (0.1678, 0.3357, 0.3333), Mo at (0.0000, 0.0000, 0.8115) and Pd at (0.0000, 0.0000, 0.5017).

For the magnetization, the calculation gives 0.000 Bohr magnetons per cell. The calculation puts the energy relative to the elements at -0.160 eV/atom.

---

No. 2
A plane-wave DFT calculation with GGA-PBE was carried out for an optimized crystal structure of CrAu2Se.

It has space group Pm (No. 6), with a = 3.3682 Å, b = 3.3664 Å, c = 6.9020 Å, α = 90.00°, β = 103.92° and γ = 90.00°. The inequivalent atoms are Cr at (0.0000, 0.0000, 0.0000), Au at (0.2361, 0.0000, 0.4768), Au at (0.6249, 0.5000, 0.2516) and Se at (0.4181, 0.5000, 0.8355).

The uncorrected formation energy comes out at 0.027 eV/atom. For the magnetization, the calculation gives 3.601 Bohr magnetons per cell.

---

No. 3
A plane-wave DFT calculation with GGA-PBE was carried out for an optimized crystal structure of LiTi2Se2.

It has space group P4/mbm (No. 127), with a = 7.0336 Å, b = 7.0336 Å, c = 3.3618 Å, α = 90.00°, β = 90.00° and γ = 90.00°. The inequivalent atoms are Li at (0.0000, 0.0000, 0.0000), Ti at (0.1414, 0.3586, 0.5000) and Se at (0.1541, 0.6541, 0.0000).

The uncorrected formation energy comes out at -0.811 eV/atom. For the magnetization, the calculation gives 0.000 Bohr magnetons per cell.

---

No. 4
A plane-wave DFT calculation with GGA-PBE was carried out for an optimized crystal structure of Rb2TlAsH.

It has space group P2_1/m (No. 11), with a = 7.3390 Å, b = 5.4037 Å, c = 8.4962 Å, α = 90.00°, β = 106.60° and γ = 90.00°. The inequivalent atoms are Rb at (0.1095, 0.2500, 0.3629), Rb at (0.2607, 0.2500, 0.9457), Tl at (0.4480, 0.7500, 0.3392), As at (0.3972, 0.7500, 0.6755) and H at (0.1605, 0.7500, 0.1846).

For the total energy, the calculation gives -0.1934 Ry/atom. For the magnetization, the calculation gives 0.000 Bohr magnetons per cell.

---

No. 5
A plane-wave DFT calculation with GGA-PBE was carried out for an optimized crystal structure of Na4PaCd3O8.

It has space group R-3m (No. 166, hexagonal axes), with a = 6.7609 Å, b = 6.7609 Å, c = 16.8693 Å, α = 90.00°, β = 90.00° and γ = 120.00°. The inequivalent atoms are Na at (0.0000, 0.0000, 0.0000), Na at (0.0000, 0.5000, 0.0000), Pa at (0.0000, 0.0000, 0.5000), Cd at (0.0000, 0.5000, 0.5000), O at (0.0000, 0.0000, 0.2361) and O at (0.0261, 0.5131, 0.2430).

The uncorrected formation energy comes out at -1.754 eV/atom. For the magnetization, the calculation gives 2.991 Bohr magnetons per cell.

---

No. 6
A plane-wave DFT calculation with GGA-PBE was carried out for an optimized crystal structure of TlSeO3.

It has space group R3m (No. 160, hexagonal axes), with a = 5.8553 Å, b = 5.8553 Å, c = 8.9764 Å, α = 90.00°, β = 90.00° and γ = 120.00°. The inequivalent atoms are Tl at (0.0000, 0.0000, 0.0000), Se at (0.0000, 0.0000, 0.5649) and O at (0.0252, 0.5126, 0.1474).

The uncorrected formation energy comes out at -0.655 eV/atom. For the magnetization, the calculation gives 0.003 Bohr magnetons per cell.

---

No. 7
A plane-wave DFT calculation with GGA-PBE was carried out for an optimized crystal structure of Dy6GaC2S3.

It has space group C2/m (No. 12), with a = 16.8582 Å, b = 3.7740 Å, c = 7.9375 Å, α = 90.00°, β = 102.69° and γ = 90.00°. The inequivalent atoms are Dy at (0.0178, 0.0000, 0.2723), Dy at (0.1734, 0.5000, 0.1239), Dy at (0.1761, 0.5000, 0.5651), Ga at (0.0000, 0.5000, 0.0000), C at (0.1716, 0.0000, 0.3425), S at (0.0000, 0.5000, 0.5000) and S at (0.1630, 0.0000, 0.8328).

The uncorrected formation energy comes out at -1.203 eV/atom. For the magnetization, the calculation gives 0.000 Bohr magnetons per cell.

---

No. 8
A plane-wave DFT calculation with GGA-PBE was carried out for an optimized crystal structure of TiBeIr.

It has space group Pnma (No. 62), with a = 5.8203 Å, b = 3.7008 Å, c = 7.3229 Å, α = 90.00°, β = 90.00° and γ = 90.00°. The inequivalent atoms are Ti at (0.0382, 0.2500, 0.1797), Be at (0.2223, 0.7500, 0.3721) and Ir at (0.1803, 0.2500, 0.5588).

For the magnetization, the calculation gives 0.000 Bohr magnetons per cell. The calculation puts the energy relative to the elements at -0.678 eV/atom. The energy above the most stable polymorph in this dataset comes out at 0.000 eV/atom.

---

Number 1: N(E_F) 4.7 states/eV/f.u.. Number 2: N(E_F) 1.8 states/eV/f.u.. Number 3: N(E_F) 4.7 states/eV/f.u.. Number 4: N(E_F) 1.0 states/eV/f.u.. Number 5: N(E_F) 11.8 states/eV/f.u.. Number 6: N(E_F) 3.3 states/eV/f.u.. Number 7: N(E_F) 3.6 states/eV/f.u.. Number 8: N(E_F) 1.7 states/eV/f.u..